(1)
Compound: LiFe2P2HO8
Source: Alexandria via LeMat-Bulk
Functional: SCAN
Structure: single point on PBEsol structure

Results
space group: P2/c
D(E_F): 0.0260 states/eV per atom

Lattice parameters (Å, degrees): 4.7923 8.3963 15.1040 95.25 90.00 90.00
Each line ends with the local moment (μB).
Positions (direct):
Li (0.9204, 0.0000, 0.7500)  0.00
Li (0.0796, 0.0000, 0.2500)  0.00
Li (0.1214, 0.5000, 0.7500)  0.00
Li (0.8786, 0.5000, 0.2500)  0.00
Fe (0.7816, 0.9260, 0.9990)  3.67
Fe (0.2184, 0.9260, 0.4990)  3.67
Fe (0.2223, 0.5723, 0.4988)  3.66
Fe (0.7777, 0.5723, 0.9988)  3.66
Fe (0.2223, 0.4277, 0.0012)  3.66
Fe (0.7777, 0.4277, 0.5012)  3.66
Fe (0.7816, 0.0740, 0.5010)  3.67
Fe (0.2184, 0.0740, 0.0010)  3.67
P (0.7386, 0.7694, 0.6099)  0.01
P (0.2614, 0.7694, 0.1099)  0.01
P (0.2808, 0.7310, 0.8805)  0.01
P (0.7192, 0.7310, 0.3805)  0.01
P (0.2808, 0.2690, 0.6195)  0.01
P (0.7192, 0.2690, 0.1195)  0.01
P (0.7386, 0.2306, 0.8901)  0.01
P (0.2614, 0.2306, 0.3901)  0.01
H (0.5125, 0.7454, 0.7492)  0.00
H (0.4875, 0.7454, 0.2492)  0.00
H (0.5125, 0.2546, 0.7508)  0.00
H (0.4875, 0.2546, 0.2508)  0.00
O (0.5919, 0.9160, 0.5751)  0.08
O (0.4081, 0.9160, 0.0751)  0.08
O (0.1120, 0.8873, 0.9031)  0.08
O (0.0436, 0.7620, 0.5736)  0.09
O (0.7470, 0.7958, 0.7125)  0.01
O (0.8880, 0.8873, 0.4031)  0.08
O (0.9564, 0.7620, 0.0736)  0.09
O (0.3154, 0.7020, 0.7767)  0.01
O (0.2530, 0.7958, 0.2125)  0.01
O (0.5732, 0.7379, 0.9221)  0.07
O (0.5905, 0.6100, 0.5795)  0.08
O (0.6846, 0.7020, 0.2767)  0.01
O (0.4268, 0.7379, 0.4221)  0.07
O (0.1089, 0.5829, 0.9039)  0.08
O (0.4095, 0.6100, 0.0795)  0.08
O (0.1089, 0.4171, 0.5961)  0.08
O (0.8911, 0.5829, 0.4039)  0.08
O (0.5905, 0.3900, 0.9205)  0.08
O (0.8911, 0.4171, 0.0961)  0.08
O (0.5732, 0.2621, 0.5779)  0.07
O (0.3154, 0.2980, 0.7233)  0.01
O (0.4095, 0.3900, 0.4205)  0.08
O (0.4268, 0.2621, 0.0779)  0.07
O (0.7470, 0.2042, 0.7875)  0.01
O (0.6846, 0.2980, 0.2233)  0.01
O (0.0436, 0.2380, 0.9264)  0.09
O (0.1120, 0.1127, 0.5969)  0.08
O (0.2530, 0.2042, 0.2875)  0.01
O (0.9564, 0.2380, 0.4264)  0.09
O (0.8880, 0.1127, 0.0969)  0.08
O (0.5919, 0.0840, 0.9249)  0.08
O (0.4081, 0.0840, 0.4249)  0.08

---

(2)
Compound: LiFe2P2HO8
Source: Alexandria via LeMat-Bulk
Functional: SCAN
Structure: single point on PBEsol structure

Results
space group: P-1

Lattice parameters (Å, degrees): 4.9786 8.5399 8.4935 93.89 89.25 113.55
Each line ends with the local moment (μB).
Positions (direct):
P (0.8856, 0.2429, 0.4237)  0.01
P (0.1144, 0.7571, 0.5763)  0.01
P (0.1095, 0.2490, 0.9172)  0.02
P (0.8905, 0.7510, 0.0828)  0.02
H (0.8865, 0.4198, 0.6304)  0.00
H (0.1135, 0.5802, 0.3696)  0.00
Fe (0.6849, 0.8849, 0.7532)  3.55
Fe (0.6818, 0.3698, 0.1343)  3.70
Fe (0.3151, 0.1151, 0.2468)  3.55
Fe (0.3182, 0.6302, 0.8657)  3.70
O (0.6230, 0.0819, 0.3579)  0.04
O (0.3770, 0.9181, 0.6421)  0.04
O (0.0515, 0.0918, 0.8019)  0.06
O (0.9485, 0.9082, 0.1981)  0.06
O (0.8221, 0.2641, 0.9644)  0.08
O (0.1779, 0.7359, 0.0356)  0.08
O (0.7790, 0.2929, 0.5888)  0.01
O (0.2210, 0.7071, 0.4112)  0.01
O (0.1563, 0.2034, 0.4449)  0.04
O (0.8437, 0.7966, 0.5551)  0.04
O (0.9462, 0.3927, 0.3160)  0.06
O (0.0538, 0.6073, 0.6840)  0.06
O (0.2666, 0.2347, 0.0706)  0.11
O (0.7334, 0.7653, 0.9294)  0.11
O (0.3251, 0.4060, 0.8355)  0.08
O (0.6749, 0.5940, 0.1645)  0.08
Li (0.3468, 0.1548, 0.6358)  0.00
Li (0.6532, 0.8452, 0.3642)  0.00

---

Short version: (2) is the least stable of them.

---

(1)
Compound: FeH2Ru
Source: Alexandria via LeMat-Bulk
Functional: SCAN
Structure: single point on PBEsol structure

Results
space group: I-42d
D(E_F): 0.5477 states/eV per atom

Lattice parameters (Å, degrees): 3.9412 3.9412 4.8237 114.11 114.11 90.00
Each line ends with the local moment (μB).
Positions (direct):
Ru (0.2500, 0.7500, 0.5000)  0.67
Ru (0.0000, 0.0000, 0.0000)  0.67
Fe (0.7500, 0.2500, 0.5000)  2.79
Fe (0.5000, 0.5000, 0.0000)  2.79
H (0.8512, 0.3750, 0.2500)  -0.02
H (0.3988, 0.8750, 0.2500)  -0.02
H (0.6250, 0.6012, 0.7500)  -0.02
H (0.1250, 0.1488, 0.7500)  -0.02

---

(2)
Compound: FeH2Ru
Source: Alexandria via LeMat-Bulk
Functional: SCAN
Structure: single point on PBEsol structure

Results
space group: Fm-3m
D(E_F): 0.2914 states/eV per atom

Lattice parameters (Å, degrees): 3.5316 3.5316 3.5316 60.00 60.00 60.00
Each line ends with the local moment (μB).
Positions (direct):
Ru (0.5000, 0.5000, 0.5000)  0.53
Fe (0.0000, 0.0000, 0.0000)  2.96
H (0.2500, 0.2500, 0.2500)  0.00
H (0.7500, 0.7500, 0.7500)  0.00

---

Short version: (2) is the least stable of them.

---

(1)
Compound: LaHfFeO2
Source: Alexandria via LeMat-Bulk
Functional: SCAN
Structure: single point on PBEsol structure

Results
space group: P4/mmm
D(E_F): 0.4492 states/eV per atom

Lattice parameters (Å, degrees): 4.2799 4.2799 5.2347 90.00 90.00 90.00
Each line ends with the local moment (μB).
Positions (direct):
Hf (0.5000, 0.5000, 0.5000)  -0.52
Fe (0.0000, 0.0000, 0.5000)  2.57
O (0.0000, 0.5000, 0.0000)  0.16
O (0.5000, 0.0000, 0.0000)  0.16
La (0.0000, 0.0000, 0.0000)  0.10

---

(2)
Compound: LaHfFeO2
Source: Alexandria via LeMat-Bulk
Functional: SCAN
Structure: single point on PBEsol structure

Results
space group: P4/mmm
D(E_F): 0.5503 states/eV per atom

Lattice parameters (Å, degrees): 4.1120 4.1120 4.4356 90.00 90.00 90.00
Each line ends with the local moment (μB).
Positions (direct):
Hf (0.0000, 0.0000, 0.5000)  -0.54
Fe (0.0000, 0.0000, 0.0000)  2.23
O (0.0000, 0.5000, 0.0000)  0.06
O (0.5000, 0.0000, 0.0000)  0.06
La (0.5000, 0.5000, 0.5000)  -0.11

---

Short version: (1) is the least stable of them.

---

(1)
Compound: KFeHg
Source: Alexandria via LeMat-Bulk
Functional: SCAN
Structure: single point on PBEsol structure

Results
space group: F-43m
D(E_F): 0.2838 states/eV per atom

Lattice parameters (Å, degrees): 4.7898 4.7898 4.7898 60.00 60.00 60.00
Each line ends with the local moment (μB).
Positions (direct):
Fe (0.2500, 0.2500, 0.2500)  3.03
Hg (0.0000, 0.0000, 0.0000)  0.00
K (0.5000, 0.5000, 0.5000)  0.01

---

(2)
Compound: KFeHg
Source: Alexandria via LeMat-Bulk
Functional: SCAN
Structure: single point on PBEsol structure

Results
space group: I4mm
D(E_F): 0.4622 states/eV per atom

Lattice parameters (Å, degrees): 3.6199 3.6199 6.5690 105.99 105.99 90.00
Each line ends with the local moment (μB).
Positions (direct):
Fe (0.9332, 0.9332, 0.8664)  2.97
Hg (0.3971, 0.3971, 0.7942)  -0.05
K (0.6697, 0.6697, 0.3394)  -0.02

---

Short version: (1) is the least stable of them.